Sm2ZnHg | the Alexandria database | PBE-GGA | optimized geometry; density = 9.08 g/cm³; total energy = -3.131 eV per atom; energy relative to the lowest polymorph listed for this composition = 24.1 meV/atom
1.0
0.000 3.729 3.729
3.729 0.000 3.729
3.729 3.729 0.000
Sm Zn Hg
2 1 1
direct
0.250 0.250 0.250
0.750 0.750 0.750
0.000 0.000 0.000
0.500 0.500 0.500

MgTl2Ag2 | the Alexandria database | PBE-GGA | optimized geometry; density = 8.64 g/cm³; total energy = -2.261 eV per atom; energy relative to the lowest polymorph listed for this composition = 78.2 meV/atom
1.0
-1.928 1.928 8.390
1.928 -1.928 8.390
1.928 1.928 -8.390
Mg Tl Ag
1 2 2
direct
0.000 0.000 0.000
0.395 0.395 0.000
0.605 0.605 0.000
0.250 0.750 0.500
0.750 0.250 0.500

NiGe2Pd | the Alexandria database | PBE-GGA | optimized geometry; density = 8.66 g/cm³; total energy = -5.232 eV per atom; energy relative to the lowest polymorph listed for this composition = 193.7 meV/atom
1.0
1.491 0.861 7.734
-1.491 0.861 7.734
0.000 -1.721 7.734
Ni Ge Pd
1 2 1
direct
0.000 0.000 0.000
0.413 0.413 0.413
0.591 0.591 0.591
0.838 0.838 0.838

PH6PbCCl3 | the Alexandria database | PBE-GGA | optimized geometry; density = 2.74 g/cm³; total energy = -4.159 eV per atom; energy relative to the lowest polymorph listed for this composition = 11.4 meV/atom
1.0
10.098 0.000 0.000
0.000 4.550 0.000
-0.086 0.000 19.152
P H Pb C Cl
4 24 4 4 12
direct
0.000 0.000 0.000
0.099 0.500 0.377
0.487 0.000 0.876
0.603 0.500 0.506
0.020 0.000 0.125
0.041 0.304 0.488
0.041 0.696 0.488
0.083 0.245 0.991
0.083 0.755 0.991
0.169 0.257 0.350
0.169 0.743 0.350
0.196 0.500 0.491
0.352 0.000 0.857
0.457 0.195 0.991
0.457 0.805 0.991
0.465 0.500 0.499
0.547 0.245 0.845
0.547 0.755 0.845
0.612 0.000 0.982
0.616 0.304 0.622
0.616 0.696 0.622
0.658 0.256 0.471
0.658 0.744 0.471
0.764 0.500 0.598
0.875 0.196 0.096
0.875 0.804 0.096
0.898 0.000 0.950
0.974 0.500 0.343
0.236 0.000 0.681
0.369 0.500 0.183
0.691 0.000 0.287
0.910 0.500 0.790
0.095 0.500 0.470
0.506 0.000 0.969
0.655 0.500 0.596
0.936 0.000 0.087
0.049 0.500 0.650
0.097 0.000 0.833
0.207 0.000 0.229
0.272 0.500 0.050
0.359 0.000 0.554
0.389 0.500 0.734
0.512 0.500 0.334
0.552 0.000 0.151
0.757 0.000 0.745
0.776 0.500 0.918
0.840 0.500 0.237
0.845 0.000 0.412

NdSmCo | the Alexandria database | PBE-GGA | optimized geometry; density = 7.48 g/cm³; total energy = -5.607 eV per atom; energy relative to the lowest polymorph listed for this composition = 0.0 meV/atom
1.0
6.265 -1.879 0.000
6.265 1.879 0.000
-5.032 0.000 6.668
Nd Sm Co
2 2 2
direct
0.177 0.177 0.089
0.823 0.823 0.911
0.423 0.423 0.612
0.577 0.577 0.388
0.114 0.114 0.693
0.886 0.886 0.307

KTa2Ni | the Alexandria database | PBE-GGA | optimized geometry; density = 7.55 g/cm³; total energy = -6.893 eV per atom; energy relative to the lowest polymorph listed for this composition = 256.4 meV/atom
1.0
5.059 -1.432 0.000
5.059 1.432 0.000
-1.212 0.000 6.975
K Ta Ni
1 2 1
direct
0.000 0.000 0.000
0.542 0.542 0.505
0.810 0.810 0.453
0.228 0.228 0.706

Dy2ScHg6 | the Alexandria database | PBE-GGA | optimized geometry; density = 12.05 g/cm³; total energy = -2.283 eV per atom
1.0
7.107 -5.781 0.000
7.107 5.781 0.000
-0.936 0.000 5.279
Dy Sc Hg
4 2 12
direct
0.042 0.293 0.081
0.293 0.042 0.581
0.707 0.958 0.419
0.958 0.707 0.919
0.377 0.623 0.750
0.623 0.377 0.250
0.073 0.814 0.473
0.159 0.408 0.638
0.186 0.927 0.027
0.270 0.516 0.195
0.408 0.159 0.138
0.484 0.730 0.305
0.516 0.270 0.695
0.592 0.841 0.862
0.730 0.484 0.805
0.814 0.073 0.973
0.841 0.592 0.362
0.927 0.186 0.527

Sb3Rh5 | the Alexandria database | PBE-GGA | optimized geometry; density = 10.87 g/cm³; total energy = -6.402 eV per atom; energy relative to the lowest polymorph listed for this composition = 74.3 meV/atom; raw formation energy = -0.261 eV per atom
1.0
3.684 -4.354 0.000
3.684 4.354 0.000
0.000 0.000 4.190
Sb Rh
3 5
direct
0.000 0.000 0.000
0.303 0.697 0.500
0.697 0.303 0.500
0.000 0.500 0.000
0.210 0.210 0.500
0.500 0.000 0.000
0.500 0.500 0.000
0.790 0.790 0.500

Tb6HoPu | the Alexandria database | PBE-GGA | optimized geometry; density = 8.94 g/cm³; total energy = -5.613 eV per atom; energy relative to the lowest polymorph listed for this composition = 0.0 meV/atom
1.0
6.431 0.000 0.000
-1.008 6.644 0.000
-0.426 -3.426 5.923
Tb Ho Pu
6 1 1
direct
0.227 0.468 0.404
0.249 0.998 0.935
0.257 0.514 0.923
0.743 0.486 0.077
0.751 0.002 0.065
0.773 0.532 0.596
0.500 0.000 0.500
0.000 0.000 0.500

Co2Pd2Pt | the Alexandria database | PBE-GGA | optimized geometry; density = 12.60 g/cm³; total energy = -6.143 eV per atom; energy relative to the lowest polymorph listed for this composition = 0.0 meV/atom
1.0
-1.354 1.873 6.828
1.354 -1.873 6.828
1.354 1.873 -6.828
Co Pd Pt
2 2 1
direct
0.096 0.096 0.000
0.904 0.904 0.000
0.304 0.304 0.000
0.696 0.696 0.000
0.500 0.500 0.000

PuIrRu | the Alexandria database | PBE-GGA | optimized geometry; density = 16.40 g/cm³; total energy = -10.797 eV per atom; energy relative to the lowest polymorph listed for this composition = 394.1 meV/atom
1.0
-1.853 1.853 3.961
1.853 -1.853 3.961
1.853 1.853 -3.961
Pu Ir Ru
1 1 1
direct
0.000 0.000 0.000
0.666 0.666 0.000
0.309 0.309 0.000

AcPaRuN4 | the Alexandria database | PBE-GGA | optimized geometry; density = 9.29 g/cm³; total energy = -8.731 eV per atom; raw formation energy = -0.705 eV per atom
1.0
5.983 0.000 0.000
0.000 5.374 0.000
-2.214 0.000 6.836
Ac Pa Ru N
2 2 2 8
direct
0.209 0.250 0.434
0.791 0.750 0.566
0.277 0.250 0.952
0.723 0.750 0.048
0.255 0.750 0.183
0.745 0.250 0.817
0.046 0.750 0.344
0.046 0.750 0.923
0.497 0.008 0.792
0.497 0.492 0.792
0.503 0.508 0.208
0.503 0.992 0.208
0.954 0.250 0.077
0.954 0.250 0.656